# 1
{
  "formula": "Ca4CuOs",
  "functional": "PBE",
  "state": "optimized geometry",
  "spacegroup": "F-43m (216)",
  "formation_enthalpy_0k_ev_per_atom": 1.11,
  "magnetic_moment_mub_per_fu": 0.000,
  "dos_ef_per_ev_cell": 5.88,
  "lattice_angstrom": [[0.000, 4.256, 4.256], [4.256, 0.000, 4.256], [4.256, 4.256, 0.000]],
  "species": ["Ca", "Cu", "Ca", "Os", "Ca", "Ca"],
  "frac_coords": [[0.878, 0.374, 0.374], [0.750, 0.750, 0.750], [0.374, 0.374, 0.374], [0.000, 0.000, 0.000], [0.374, 0.878, 0.374], [0.374, 0.374, 0.878]]
}



# 2
{
  "formula": "CaCu2Os",
  "functional": "PBE",
  "state": "optimized geometry",
  "spacegroup": "Cmmm (65)",
  "formation_enthalpy_0k_ev_per_atom": 0.35,
  "magnetic_moment_mub_per_fu": 0.000,
  "dos_ef_per_ev_cell": 1.30,
  "lattice_angstrom": [[-2.636, -2.767, 2.559], [-0.852, -2.580, -3.710], [2.322, -1.646, 0.612]],
  "species": ["Ca", "Cu", "Os", "Cu"],
  "frac_coords": [[0.000, 0.500, 0.500], [0.500, 0.500, 0.000], [0.500, 0.000, 0.500], [0.000, 0.000, 0.000]]
}



# 3
{
  "formula": "CaCuOs2",
  "functional": "PBE",
  "state": "optimized geometry",
  "spacegroup": "P2/m (10)",
  "formation_enthalpy_0k_ev_per_atom": 0.53,
  "magnetic_moment_mub_per_fu": 0.000,
  "dos_ef_per_ev_cell": 3.62,
  "lattice_angstrom": [[-4.415, -1.555, 1.004], [0.732, -0.347, 2.685], [-1.216, 4.456, 1.555]],
  "species": ["Ca", "Cu", "Os", "Os"],
  "frac_coords": [[0.500, 0.250, 0.250], [0.500, 0.750, 0.750], [0.000, 0.570, 0.515], [0.000, 0.930, 0.985]]
}



# 4
{
  "formula": "Ca2Cu2Os",
  "functional": "PBE",
  "state": "optimized geometry",
  "spacegroup": "P4/mbm (127)",
  "formation_enthalpy_0k_ev_per_atom": 0.23,
  "magnetic_moment_mub_per_fu": 0.000,
  "dos_ef_per_ev_cell": 3.03,
  "lattice_angstrom": [[-3.855, -1.281, -5.256], [0.059, -6.463, 1.531], [-3.613, 0.562, 2.514]],
  "species": ["Cu", "Cu", "Cu", "Ca", "Ca", "Os", "Ca", "Os", "Cu", "Ca"],
  "frac_coords": [[0.132, 0.368, 0.000], [0.868, 0.632, 0.000], [0.368, 0.868, 0.000], [0.316, 0.184, 0.500], [0.184, 0.684, 0.500], [0.000, 0.000, 0.000], [0.684, 0.816, 0.500], [0.500, 0.500, 0.000], [0.632, 0.132, 0.000], [0.816, 0.316, 0.500]]
}



# 5
{
  "formula": "CaCuOs2",
  "functional": "PBE",
  "state": "optimized geometry",
  "spacegroup": "Imm2 (44)",
  "formation_enthalpy_0k_ev_per_atom": 0.63,
  "magnetic_moment_mub_per_fu": 0.000,
  "dos_ef_per_ev_cell": 3.81,
  "lattice_angstrom": [[-4.166, 1.767, -3.278], [-3.818, -3.646, -1.830], [2.525, 2.664, 4.213]],
  "species": ["Cu", "Ca", "Os", "Os"],
  "frac_coords": [[0.225, 0.725, 0.500], [0.498, 0.498, 0.000], [0.780, 0.280, 0.500], [0.997, 0.997, 0.000]]
}



# 6
{
  "formula": "CaCu2Os",
  "functional": "PBE",
  "state": "optimized geometry",
  "spacegroup": "Imm2 (44)",
  "formation_enthalpy_0k_ev_per_atom": 0.41,
  "magnetic_moment_mub_per_fu": 0.000,
  "dos_ef_per_ev_cell": 2.23,
  "lattice_angstrom": [[-3.217, -1.773, -4.079], [0.196, -5.262, -1.552], [-1.034, 3.814, 3.811]],
  "species": ["Cu", "Cu", "Os", "Ca"],
  "frac_coords": [[0.974, 0.974, 0.000], [0.757, 0.257, 0.500], [0.526, 0.526, 0.000], [0.243, 0.743, 0.500]]
}



# 7
{
  "formula": "CaCuOs2",
  "functional": "PBE",
  "state": "optimized geometry",
  "spacegroup": "Fm-3m (225)",
  "formation_enthalpy_0k_ev_per_atom": 1.12,
  "magnetic_moment_mub_per_fu": 0.746,
  "dos_ef_per_ev_cell": 7.45,
  "lattice_angstrom": [[3.196, -0.680, 3.080], [2.637, 3.399, 1.287], [-0.437, 1.749, 4.113]],
  "species": ["Os", "Cu", "Os", "Ca"],
  "frac_coords": [[0.750, 0.750, 0.750], [0.500, 0.500, 0.500], [0.250, 0.250, 0.250], [0.000, 0.000, 0.000]]
}



# 8
{
  "formula": "CaCu2Os",
  "functional": "PBE",
  "state": "optimized geometry",
  "spacegroup": "P2/m (10)",
  "formation_enthalpy_0k_ev_per_atom": 0.35,
  "magnetic_moment_mub_per_fu": 0.000,
  "dos_ef_per_ev_cell": 3.59,
  "lattice_angstrom": [[3.912, 0.000, 0.000], [0.000, 2.729, 0.043], [0.000, 2.618, 6.122]],
  "species": ["Cu", "Ca", "Os", "Cu"],
  "frac_coords": [[0.000, 0.552, 0.446], [0.500, 0.750, 0.750], [0.500, 0.250, 0.250], [0.000, 0.948, 0.054]]
}



# 9
{
  "formula": "CaCu3Os",
  "functional": "PBE",
  "state": "optimized geometry",
  "spacegroup": "Pm-3m (221)",
  "formation_enthalpy_0k_ev_per_atom": 0.64,
  "magnetic_moment_mub_per_fu": 0.000,
  "dos_ef_per_ev_cell": 4.49,
  "lattice_angstrom": [[4.695, 0.000, 0.000], [0.000, 4.695, 0.000], [0.000, 0.000, 4.695]],
  "species": ["Os", "Ca", "Cu", "Cu", "Cu"],
  "frac_coords": [[0.000, 0.000, 0.000], [0.500, 0.500, 0.500], [0.000, 0.000, 0.500], [0.500, 0.000, 0.000], [0.000, 0.500, 0.000]]
}



# 10
{
  "formula": "Ca3CuOs",
  "functional": "PBE",
  "state": "optimized geometry",
  "spacegroup": "Pm-3m (221)",
  "formation_enthalpy_0k_ev_per_atom": 0.56,
  "magnetic_moment_mub_per_fu": 0.000,
  "dos_ef_per_ev_cell": 7.54,
  "lattice_angstrom": [[-4.609, -1.904, 2.172], [1.358, -5.039, -1.534], [2.549, -0.758, 4.745]],
  "species": ["Ca", "Os", "Ca", "Ca", "Cu"],
  "frac_coords": [[0.000, 0.000, 0.500], [0.000, 0.000, 0.000], [0.000, 0.500, 0.000], [0.500, 0.000, 0.000], [0.500, 0.500, 0.500]]
}



# 11
{
  "formula": "CaCuOs2",
  "functional": "PBE",
  "state": "optimized geometry",
  "spacegroup": "Amm2 (38)",
  "formation_enthalpy_0k_ev_per_atom": 0.34,
  "magnetic_moment_mub_per_fu": 0.000,
  "dos_ef_per_ev_cell": 2.32,
  "lattice_angstrom": [[-1.517, 0.906, 3.838], [0.483, -2.650, 0.816], [5.362, 0.123, 2.090]],
  "species": ["Cu", "Os", "Os", "Ca"],
  "frac_coords": [[0.500, 0.934, 0.758], [0.500, 0.225, 0.175], [0.000, 0.796, 0.031], [0.000, 0.545, 0.535]]
}



# 12
{
  "formula": "CaCuOs2",
  "functional": "PBE",
  "state": "optimized geometry",
  "spacegroup": "I-42d (122)",
  "formation_enthalpy_0k_ev_per_atom": 0.71,
  "magnetic_moment_mub_per_fu": 0.000,
  "dos_ef_per_ev_cell": 9.22,
  "lattice_angstrom": [[-0.106, 3.226, -2.504], [-2.963, 1.663, 2.267], [4.979, 6.792, 5.207]],
  "species": ["Os", "Os", "Cu", "Cu", "Ca", "Os", "Os", "Ca"],
  "frac_coords": [[0.375, 0.271, 0.750], [0.875, 0.979, 0.750], [0.750, 0.250, 0.500], [0.000, 0.000, 0.000], [0.500, 0.500, 0.000], [0.729, 0.125, 0.250], [0.021, 0.625, 0.250], [0.250, 0.750, 0.500]]
}



Question: What is the formula in the ninth record?
Answer: CaCu3Os